VASP calculation (GGA-PBE) on CaAg2Se after structural relaxation.

Summary:
As for the magnetization: 0.00 μB/cell. The calculated total energy is -3.412 eV per atom. The value obtained for the density is 6.25 Mg/m³.

a b c (Å): 4.0515 4.0515 5.4202
angles (deg): 90.00 90.00 90.00
Closest atoms and distances in Å follow each position.
Space group P4/mmm (No. 123)
Asymmetric unit:
1 Ca 0.0000 0.0000 0.0000 [1 per cell]  4 Se 2.86
2 Ag 0.0000 0.5000 0.5000 [2 per cell]  4 Ag 2.86
3 Se 0.5000 0.5000 0.0000 [1 per cell]  4 Ca 2.86